# Rb3In3Sn2

Rb3In3Sn2 after structural relaxation (GGA-PBE, Alexandria via LeMat-Bulk).

## Properties
* crystal system: orthorhombic

a b c (Å): 7.072 7.072 17.816
angles (deg): 90.00 90.00 136.91
Element x y z (fractional)
1 Rb 0.073 0.927 0.610
2 Rb 0.073 0.927 0.890
3 Rb 0.386 0.614 0.750
4 Rb 0.614 0.386 0.250
5 Rb 0.927 0.073 0.110
6 Rb 0.927 0.073 0.390
7 In 0.321 0.679 0.250
8 In 0.364 0.636 0.529
9 In 0.364 0.636 0.971
10 In 0.636 0.364 0.029
11 In 0.636 0.364 0.471
12 In 0.679 0.321 0.750
13 Sn 0.213 0.787 0.101
14 Sn 0.213 0.787 0.399
15 Sn 0.787 0.213 0.601
16 Sn 0.787 0.213 0.899



# Rb3In2Sn9

Rb3In2Sn9 after structural relaxation (GGA-PBE, Alexandria via LeMat-Bulk).

## Properties
* crystal system: orthorhombic

a b c (Å): 10.099 10.099 10.099
angles (deg): 151.84 101.10 85.75
Element x y z (fractional)
1 Rb 0.000 0.000 0.000
2 Rb 0.282 0.282 0.000
3 Rb 0.718 0.718 0.000
4 In 0.343 0.500 0.843
5 In 0.657 0.500 0.157
6 Sn 0.022 0.365 0.657
7 Sn 0.134 0.841 0.293
8 Sn 0.291 0.635 0.657
9 Sn 0.452 0.159 0.293
10 Sn 0.500 0.000 0.500
11 Sn 0.548 0.841 0.707
12 Sn 0.709 0.365 0.343
13 Sn 0.866 0.159 0.707
14 Sn 0.978 0.635 0.343



# Rb2In3Sn5

Rb2In3Sn5 after structural relaxation (GGA-PBE, Alexandria via LeMat-Bulk).

## Properties
* offset from the most stable computed form: 0 meV per atom
* crystal system: orthorhombic

a b c (Å): 10.289 10.289 10.289
angles (deg): 110.27 85.40 137.19
Element x y z (fractional)
1 Rb 0.125 0.249 0.374
2 Rb 0.375 0.749 0.124
3 Rb 0.625 0.251 0.876
4 Rb 0.875 0.751 0.626
5 In 0.125 0.625 0.749
6 In 0.250 0.250 0.000
7 In 0.375 0.125 0.500
8 In 0.625 0.875 0.500
9 In 0.750 0.750 0.000
10 In 0.875 0.375 0.251
11 Sn 0.000 0.250 0.750
12 Sn 0.000 0.750 0.250
13 Sn 0.124 0.874 0.998
14 Sn 0.250 0.750 0.500
15 Sn 0.376 0.374 0.750
16 Sn 0.500 0.250 0.250
17 Sn 0.500 0.750 0.750
18 Sn 0.624 0.626 0.250
19 Sn 0.750 0.250 0.500
20 Sn 0.876 0.126 0.002



# RbIn8Sn2

RbIn8Sn2 after structural relaxation (GGA-PBE, Alexandria via LeMat-Bulk).

## Properties
* offset from the most stable computed form: 56 meV per atom
* crystal system: tetragonal

a b c (Å): 6.201 6.201 11.009
angles (deg): 90.00 90.00 90.00
Element x y z (fractional)
1 Rb 0.000 0.000 0.000
2 In 0.251 0.251 0.294
3 In 0.251 0.251 0.706
4 In 0.251 0.749 0.294
5 In 0.251 0.749 0.706
6 In 0.749 0.251 0.294
7 In 0.749 0.251 0.706
8 In 0.749 0.749 0.294
9 In 0.749 0.749 0.706
10 Sn 0.000 0.500 0.500
11 Sn 0.500 0.000 0.500



# RbIn3Sn

RbIn3Sn after structural relaxation (GGA-PBE, Alexandria via LeMat-Bulk).

## Properties
* offset from the most stable computed form: 0 meV per atom
* crystal system: monoclinic

a b c (Å): 7.289 7.292 7.177
angles (deg): 90.00 120.43 90.00
Element x y z (fractional)
1 Rb 0.000 0.000 0.000
2 Rb 0.500 0.500 0.000
3 In 0.002 0.250 0.504
4 In 0.002 0.750 0.504
5 In 0.381 0.000 0.763
6 In 0.502 0.250 0.504
7 In 0.502 0.750 0.504
8 In 0.881 0.500 0.763
9 Sn 0.119 0.500 0.237
10 Sn 0.619 0.000 0.237



# Rb2In2Sn

Rb2In2Sn after structural relaxation (GGA-PBE, Alexandria via LeMat-Bulk).

## Properties
* offset from the most stable computed form: 42 meV per atom
* crystal system: tetragonal

a b c (Å): 7.934 7.934 6.215
angles (deg): 90.00 90.00 90.00
Element x y z (fractional)
1 Rb 0.183 0.317 0.000
2 Rb 0.317 0.817 0.000
3 Rb 0.683 0.183 0.000
4 Rb 0.817 0.683 0.000
5 In 0.132 0.632 0.500
6 In 0.368 0.132 0.500
7 In 0.632 0.868 0.500
8 In 0.868 0.368 0.500
9 Sn 0.000 0.000 0.500
10 Sn 0.500 0.500 0.500



# RbIn2Sn

RbIn2Sn after structural relaxation (GGA-PBE, Alexandria via LeMat-Bulk).

## Properties
* crystal system: tetragonal

a b c (Å): 4.995 4.995 11.376
angles (deg): 90.00 90.00 90.00
Element x y z (fractional)
1 Rb 0.250 0.250 0.244
2 Rb 0.750 0.750 0.756
3 In 0.250 0.250 0.937
4 In 0.250 0.750 0.500
5 In 0.750 0.250 0.500
6 In 0.750 0.750 0.063
7 Sn 0.250 0.250 0.656
8 Sn 0.750 0.750 0.344



# RbInSn

RbInSn after structural relaxation (GGA-PBE, Alexandria via LeMat-Bulk).

## Properties
* crystal system: triclinic

a b c (Å): 4.965 6.934 7.464
angles (deg): 91.05 109.25 110.88
Element x y z (fractional)
1 Rb 0.000 0.000 0.000
2 Rb 0.454 0.586 0.316
3 In 0.295 0.997 0.594
4 In 0.633 0.395 0.864
5 Sn 0.159 0.584 0.728
6 Sn 0.818 0.185 0.453



# RbIn2Sn

RbIn2Sn after structural relaxation (GGA-PBE, Alexandria via LeMat-Bulk).

## Properties
* crystal system: tetragonal

a b c (Å): 5.873 5.873 20.566
angles (deg): 90.00 90.00 90.00
Element x y z (fractional)
1 Rb 0.000 0.250 0.375
2 Rb 0.000 0.750 0.625
3 Rb 0.500 0.250 0.125
4 Rb 0.500 0.750 0.875
5 In 0.000 0.000 0.000
6 In 0.000 0.500 0.000
7 In 0.250 0.250 0.750
8 In 0.250 0.750 0.250
9 In 0.500 0.000 0.500
10 In 0.500 0.500 0.500
11 In 0.750 0.250 0.750
12 In 0.750 0.750 0.250
13 Sn 0.000 0.250 0.875
14 Sn 0.000 0.750 0.125
15 Sn 0.500 0.250 0.625
16 Sn 0.500 0.750 0.375



# RbInSn

RbInSn after structural relaxation (GGA-PBE, Alexandria via LeMat-Bulk).

## Properties
* crystal system: triclinic

a b c (Å): 4.872 6.846 7.542
angles (deg): 98.40 105.61 106.02
Element x y z (fractional)
1 Rb 0.244 0.289 0.141
2 Rb 0.756 0.711 0.859
3 In 0.018 0.704 0.443
4 In 0.982 0.296 0.557
5 Sn 0.467 0.115 0.691
6 Sn 0.533 0.885 0.309



# Rb2In4Sn5

Rb2In4Sn5 after structural relaxation (GGA-PBE, Alexandria via LeMat-Bulk).

## Properties
* crystal system: orthorhombic

a b c (Å): 10.825 9.759 6.814
angles (deg): 79.39 62.39 38.22
Element x y z (fractional)
1 Rb 0.129 0.129 0.871
2 Rb 0.871 0.871 0.129
3 In 0.221 0.500 0.500
4 In 0.500 0.221 0.779
5 In 0.500 0.779 0.221
6 In 0.779 0.500 0.500
7 Sn 0.000 0.000 0.500
8 Sn 0.250 0.250 0.250
9 Sn 0.500 0.500 0.000
10 Sn 0.500 0.500 0.500
11 Sn 0.750 0.750 0.750



# Rb2InSn2

Rb2InSn2 after structural relaxation (GGA-PBE, Alexandria via LeMat-Bulk).

## Properties
* offset from the most stable computed form: 0 meV per atom
* crystal system: monoclinic

a b c (Å): 6.931 6.931 9.184
angles (deg): 96.88 96.88 67.83
Element x y z (fractional)
1 Rb 0.020 0.280 0.140
2 Rb 0.280 0.020 0.640
3 Rb 0.720 0.980 0.360
4 Rb 0.980 0.720 0.860
5 In 0.449 0.551 0.250
6 In 0.551 0.449 0.750
7 Sn 0.209 0.519 0.494
8 Sn 0.481 0.791 0.006
9 Sn 0.519 0.209 0.994
10 Sn 0.791 0.481 0.506



# RbInSn

RbInSn after structural relaxation (GGA-PBE, Alexandria via LeMat-Bulk).

## Properties
* crystal system: tetragonal

a b c (Å): 4.971 4.971 8.934
angles (deg): 90.00 90.00 90.00
Element x y z (fractional)
1 Rb 0.250 0.250 0.157
2 Rb 0.750 0.750 0.843
3 In 0.250 0.750 0.500
4 In 0.750 0.250 0.500
5 Sn 0.250 0.250 0.703
6 Sn 0.750 0.750 0.297



# RbInSn

RbInSn after structural relaxation (GGA-PBE, Alexandria via LeMat-Bulk).

## Properties
* crystal system: orthorhombic

a b c (Å): 5.321 9.074 8.528
angles (deg): 90.00 90.00 90.00
Element x y z (fractional)
1 Rb 0.000 0.000 0.000
2 Rb 0.000 0.500 0.159
3 Rb 0.500 0.000 0.659
4 Rb 0.500 0.500 0.500
5 In 0.000 0.165 0.424
6 In 0.000 0.835 0.424
7 In 0.500 0.335 0.924
8 In 0.500 0.665 0.924
9 Sn 0.000 0.333 0.737
10 Sn 0.000 0.667 0.737
11 Sn 0.500 0.167 0.237
12 Sn 0.500 0.833 0.237



# RbInSn

RbInSn after structural relaxation (GGA-PBE, Alexandria via LeMat-Bulk).

## Properties
* crystal system: orthorhombic

a b c (Å): 9.116 6.575 4.099
angles (deg): 90.00 90.00 90.00
Element x y z (fractional)
1 Rb 0.250 0.000 0.003
2 Rb 0.750 0.000 0.997
3 In 0.000 0.500 0.000
4 In 0.500 0.500 0.000
5 Sn 0.250 0.500 0.502
6 Sn 0.750 0.500 0.498



# RbIn8Sn2

RbIn8Sn2 after structural relaxation (GGA-PBE, Alexandria via LeMat-Bulk).

## Properties
* offset from the most stable computed form: 0 meV per atom
* crystal system: tetragonal

a b c (Å): 5.768 5.768 11.335
angles (deg): 90.00 90.00 90.00
Element x y z (fractional)
1 Rb 0.000 0.000 0.000
2 In 0.000 0.500 0.227
3 In 0.000 0.500 0.500
4 In 0.000 0.500 0.773
5 In 0.500 0.000 0.227
6 In 0.500 0.000 0.500
7 In 0.500 0.000 0.773
8 In 0.500 0.500 0.358
9 In 0.500 0.500 0.642
10 Sn 0.000 0.000 0.363
11 Sn 0.000 0.000 0.637



# RbInSn4

RbInSn4 after structural relaxation (GGA-PBE, Alexandria via LeMat-Bulk).

## Properties
* offset from the most stable computed form: 0 meV per atom
* crystal system: orthorhombic

a b c (Å): 4.772 7.945 10.244
angles (deg): 90.00 90.00 90.00
Element x y z (fractional)
1 Rb 0.000 0.000 0.000
2 Rb 0.500 0.500 0.500
3 In 0.000 0.500 0.000
4 In 0.500 0.000 0.500
5 Sn 0.000 0.191 0.335
6 Sn 0.000 0.191 0.665
7 Sn 0.000 0.809 0.335
8 Sn 0.000 0.809 0.665
9 Sn 0.500 0.309 0.165
10 Sn 0.500 0.309 0.835
11 Sn 0.500 0.691 0.165
12 Sn 0.500 0.691 0.835



# Rb3In8Sn

Rb3In8Sn after structural relaxation (GGA-PBE, Alexandria via LeMat-Bulk).

## Properties
* crystal system: trigonal

a b c (Å): 11.182 11.182 11.182
angles (deg): 34.14 34.14 34.14
Element x y z (fractional)
1 Rb 0.000 0.000 0.000
2 Rb 0.125 0.125 0.125
3 Rb 0.621 0.621 0.621
4 In 0.061 0.061 0.559
5 In 0.061 0.559 0.061
6 In 0.061 0.566 0.566
7 In 0.316 0.316 0.316
8 In 0.559 0.061 0.061
9 In 0.566 0.061 0.566
10 In 0.566 0.566 0.061
11 In 0.813 0.813 0.813
12 Sn 0.482 0.482 0.482



# Rb2In7Sn

Rb2In7Sn after structural relaxation (GGA-PBE, Alexandria via LeMat-Bulk).

## Properties
* crystal system: tetragonal

a b c (Å): 5.048 5.048 12.750
angles (deg): 90.00 90.00 90.00
Element x y z (fractional)
1 Rb 0.000 0.500 0.249
2 Rb 0.500 0.000 0.751
3 In 0.000 0.000 0.000
4 In 0.000 0.000 0.500
5 In 0.000 0.500 0.634
6 In 0.000 0.500 0.864
7 In 0.500 0.000 0.136
8 In 0.500 0.000 0.366
9 In 0.500 0.500 0.500
10 Sn 0.500 0.500 0.000



# RbInSn

RbInSn after structural relaxation (GGA-PBE, Alexandria via LeMat-Bulk).

## Properties
* crystal system: orthorhombic

a b c (Å): 5.423 13.639 6.230
angles (deg): 90.00 90.00 90.00
Element x y z (fractional)
1 Rb 0.000 0.223 0.250
2 Rb 0.000 0.777 0.750
3 Rb 0.500 0.277 0.750
4 Rb 0.500 0.723 0.250
5 In 0.000 0.500 0.000
6 In 0.000 0.500 0.500
7 In 0.500 0.000 0.000
8 In 0.500 0.000 0.500
9 Sn 0.000 0.053 0.750
10 Sn 0.000 0.947 0.250
11 Sn 0.500 0.447 0.250
12 Sn 0.500 0.553 0.750



# RbIn2Sn2

RbIn2Sn2 after structural relaxation (GGA-PBE, Alexandria via LeMat-Bulk).

## Properties
* offset from the most stable computed form: 10 meV per atom
* crystal system: tetragonal

a b c (Å): 5.184 5.184 12.242
angles (deg): 90.00 90.00 90.00
Element x y z (fractional)
1 Rb 0.000 0.000 0.000
2 Rb 0.500 0.500 0.500
3 In 0.000 0.000 0.381
4 In 0.000 0.000 0.619
5 In 0.500 0.500 0.119
6 In 0.500 0.500 0.881
7 Sn 0.000 0.500 0.250
8 Sn 0.000 0.500 0.750
9 Sn 0.500 0.000 0.250
10 Sn 0.500 0.000 0.750



# RbInSn3

RbInSn3 after structural relaxation (GGA-PBE, Alexandria via LeMat-Bulk).

## Properties
* offset from the most stable computed form: 1293 meV per atom
* crystal system: cubic

a b c (Å): 6.112 6.112 6.112
angles (deg): 90.00 90.00 90.00
Element x y z (fractional)
1 Rb 0.000 0.000 0.000
2 In 0.500 0.500 0.500
3 Sn 0.000 0.000 0.500
4 Sn 0.000 0.500 0.000
5 Sn 0.500 0.000 0.000



# RbInSn

RbInSn after structural relaxation (GGA-PBE, Alexandria via LeMat-Bulk).

## Properties
* crystal system: hexagonal

a b c (Å): 4.919 4.919 11.787
angles (deg): 90.00 90.00 120.00
Element x y z (fractional)
1 Rb 0.000 0.000 0.000
2 Rb 0.000 0.000 0.500
3 In 0.333 0.667 0.250
4 In 0.667 0.333 0.750
5 Sn 0.333 0.667 0.750
6 Sn 0.667 0.333 0.250



Number 1: E_form -156.0 meV per atom, VASP energy -2.546 eV/atom. Number 2: E_form -111.4 meV per atom, VASP energy -3.283 eV/atom. Number 3: E_form -151.6 meV per atom, VASP energy -3.168 eV/atom. Number 4: E_form 99.0 meV per atom, VASP energy -2.708 eV/atom. Number 5: E_form -151.4 meV per atom, VASP energy -2.789 eV/atom. Number 6: E_form -52.3 meV per atom, VASP energy -2.335 eV/atom. Number 7: E_form -68.0 meV per atom, VASP energy -2.680 eV/atom. Number 8: E_form -174.1 meV per atom, VASP energy -2.744 eV/atom. Number 9: E_form 56.2 meV per atom, VASP energy -2.556 eV/atom. Number 10: E_form -179.8 meV per atom, VASP energy -2.749 eV/atom. Number 11: E_form -56.3 meV per atom, VASP energy -3.047 eV/atom. Number 12: E_form -136.8 meV per atom, VASP energy -2.673 eV/atom. Number 13: E_form -224.0 meV per atom, VASP energy -2.794 eV/atom. Number 14: E_form -204.8 meV per atom, VASP energy -2.774 eV/atom. Number 15: E_form -23.0 meV per atom, VASP energy -2.593 eV/atom. Number 16: E_form 42.5 meV per atom, VASP energy -2.765 eV/atom. Number 17: E_form -68.3 meV per atom, VASP energy -3.355 eV/atom. Number 18: E_form -28.0 meV per atom, VASP energy -2.429 eV/atom. Number 19: E_form -131.4 meV per atom, VASP energy -2.642 eV/atom. Number 20: E_form -65.7 meV per atom, VASP energy -2.635 eV/atom. Number 21: E_form -151.5 meV per atom, VASP energy -3.041 eV/atom. Number 22: E_form 1150.6 meV per atom, VASP energy -1.992 eV/atom. Number 23: E_form -182.1 meV per atom, VASP energy -2.752 eV/atom.